The following is a DFT calculation (PBE-GGA) of an optimized crystal structure of SbIrSe2.

Computed properties:
- Formation energy from raw total energies: 535 meV per atom
- Size of the total moment: 0.000 μB/atom
- Final energy: -4.45 eV/atom

Cell: 4.862 4.862 4.862 Å, 123.04 123.04 84.82°
Fractional positions:
Ir (0.500, 0.500, 0.000)
Sb (0.750, 0.250, 0.500)
Se (0.250, 0.750, 0.500)
Se (0.000, 0.000, 0.000)

The following is a DFT calculation (PBE-GGA) of an optimized crystal structure of SbIr2Se.

Computed properties:
- Formation energy from raw total energies: 427 meV per atom
- Size of the total moment: 0.000 μB/atom
- Final energy: -5.90 eV/atom

Cell: 5.201 5.201 4.144 Å, 68.00 68.00 113.76°
Fractional positions:
Ir (0.000, 0.000, 0.000)
Ir (0.500, 0.500, 0.000)
Sb (0.500, 0.000, 0.500)
Se (0.000, 0.500, 0.500)

The following is a DFT calculation (PBE-GGA) of an optimized crystal structure of SbIrSe2.

Computed properties:
- Formation energy from raw total energies: 327 meV per atom
- Size of the total moment: 0.000 μB/atom
- Final energy: -4.66 eV/atom

Cell: 3.220 2.981 9.125 Å, 90.00 90.00 90.00°
Fractional positions:
Ir (0.500, 0.500, 0.250)
Se (0.000, 0.000, 0.421)
Se (0.000, 0.000, 0.079)
Sb (0.500, 0.500, 0.750)

The following is a DFT calculation (PBE-GGA) of an optimized crystal structure of SbIr2Se.

Computed properties:
- Formation energy from raw total energies: 373 meV per atom
- Size of the total moment: 0.000 μB/atom
- Final energy: -5.96 eV/atom

Cell: 4.197 4.257 4.253 Å, 82.32 90.00 90.00°
Fractional positions:
Ir (0.000, 0.966, 0.966)
Sb (0.500, 0.250, 0.250)
Ir (0.000, 0.534, 0.534)
Se (0.500, 0.750, 0.750)

The following is a DFT calculation (PBE-GGA) of an optimized crystal structure of SbIrSe2.

Computed properties:
- Formation energy from raw total energies: -135 meV per atom
- Size of the total moment: 0.000 μB/atom
- Final energy: -5.12 eV/atom

Cell: 3.921 5.211 5.211 Å, 57.37 90.00 90.00°
Fractional positions:
Se (0.500, 0.331, 0.331)
Se (0.000, 0.958, 0.958)
Sb (0.500, 0.702, 0.702)
Ir (0.000, 0.510, 0.510)

The following is a DFT calculation (PBE-GGA) of an optimized crystal structure of SbIrSe.

Computed properties:
- Formation energy from raw total energies: 64 meV per atom
- Size of the total moment: 0.000 μB/atom
- Final energy: -5.43 eV/atom

Cell: 4.695 4.025 9.954 Å, 126.37 90.00 90.01°
Fractional positions:
Ir (0.827, 0.501, 0.941)
Sb (0.816, 0.697, 0.739)
Sb (0.975, 0.197, 0.239)
Ir (0.965, 0.001, 0.441)
Se (0.454, 0.065, 0.532)
Se (0.338, 0.565, 0.032)

The following is a DFT calculation (PBE-GGA) of an optimized crystal structure of SbIrSe.

Computed properties:
- Formation energy from raw total energies: -334 meV per atom
- Size of the total moment: 0.000 μB/atom
- Final energy: -5.82 eV/atom

Cell: 5.090 6.796 7.437 Å, 91.04 90.00 90.00°
Fractional positions:
Ir (0.508, 0.266, 0.642)
Sb (0.724, 0.934, 0.100)
Se (0.225, 0.566, 0.593)
Se (0.275, 0.566, 0.093)
Ir (0.992, 0.266, 0.142)
Se (0.725, 0.434, 0.907)
Se (0.775, 0.434, 0.407)
Sb (0.276, 0.066, 0.900)
Sb (0.776, 0.934, 0.600)
Sb (0.224, 0.066, 0.400)
Ir (0.492, 0.734, 0.358)
Ir (0.008, 0.734, 0.858)

The following is a DFT calculation (PBE-GGA) of an optimized crystal structure of Sb3Ir2Se3.

Computed properties:
- Formation energy from raw total energies: -198 meV per atom
- Size of the total moment: 0.000 μB/atom
- Final energy: -5.27 eV/atom

Cell: 9.202 9.202 9.202 Å, 90.22 90.22 89.78°
Fractional positions:
Ir (0.754, 0.748, 0.750)
Se (0.853, 0.323, 0.997)
Se (0.003, 0.853, 0.677)
Ir (0.750, 0.246, 0.748)
Se (0.646, 0.825, 0.503)
Sb (0.496, 0.351, 0.161)
Sb (0.649, 0.161, 0.496)
Ir (0.748, 0.250, 0.246)
Se (0.503, 0.354, 0.825)
Se (0.825, 0.497, 0.354)
Se (0.497, 0.646, 0.175)
Se (0.175, 0.503, 0.646)
Ir (0.747, 0.747, 0.253)
Sb (0.853, 0.660, 0.004)
Sb (0.004, 0.147, 0.660)
Sb (0.504, 0.649, 0.839)
Ir (0.252, 0.750, 0.754)
Se (0.677, 0.997, 0.853)
Sb (0.996, 0.853, 0.340)
Ir (0.250, 0.754, 0.252)
Sb (0.340, 0.004, 0.853)
Ir (0.246, 0.252, 0.250)
Sb (0.161, 0.504, 0.351)
Sb (0.351, 0.839, 0.504)
Se (0.354, 0.175, 0.497)
Se (0.147, 0.677, 0.003)
Sb (0.839, 0.496, 0.649)
Ir (0.253, 0.253, 0.747)
Se (0.323, 0.003, 0.147)
Sb (0.660, 0.996, 0.147)
Sb (0.147, 0.340, 0.996)
Se (0.997, 0.147, 0.323)

The following is a DFT calculation (PBE-GGA) of an optimized crystal structure of SbIr2Se.

Computed properties:
- Formation energy from raw total energies: 216 meV per atom
- Size of the total moment: 0.009 μB/atom
- Final energy: -6.12 eV/atom

Cell: 3.147 3.147 8.255 Å, 90.00 90.00 90.00°
Fractional positions:
Sb (0.000, 0.000, 0.425)
Se (0.500, 0.500, 0.848)
Ir (0.000, 0.000, 0.993)
Ir (0.500, 0.500, 0.234)

The following is a DFT calculation (PBE-GGA) of an optimized crystal structure of SbIrSe2.

Computed properties:
- Formation energy from raw total energies: 106 meV per atom
- Size of the total moment: 0.000 μB/atom
- Final energy: -4.88 eV/atom

Cell: 7.469 7.469 6.089 Å, 52.17 52.17 90.00°
Fractional positions:
Se (0.684, 0.125, 0.250)
Se (0.066, 0.625, 0.250)
Sb (0.250, 0.750, 0.500)
Ir (0.750, 0.250, 0.500)
Sb (0.500, 0.500, 0.000)
Se (0.375, 0.316, 0.750)
Ir (0.000, 0.000, 0.000)
Se (0.875, 0.934, 0.750)

The following is a DFT calculation (PBE-GGA) of an optimized crystal structure of SbIr3Se.

Computed properties:
- Offset from the most stable computed form: 696 meV per atom
- Formation energy from raw total energies: 1802 meV per atom
- Size of the total moment: 0.233 μB/atom
- Final energy: -5.04 eV/atom

Cell: 4.875 4.875 4.875 Å, 90.00 90.00 90.00°
Fractional positions:
Ir (0.500, 0.000, 0.000)
Ir (0.000, 0.000, 0.500)
Se (0.500, 0.500, 0.500)
Ir (0.000, 0.500, 0.000)
Sb (0.000, 0.000, 0.000)

The following is a DFT calculation (PBE-GGA) of an optimized crystal structure of SbIrSe2.

Computed properties:
- Formation energy from raw total energies: -125 meV per atom
- Size of the total moment: 0.000 μB/atom
- Final energy: -5.11 eV/atom

Cell: 8.626 8.626 8.626 Å, 24.86 24.86 24.86°
Fractional positions:
Se (0.884, 0.884, 0.884)
Ir (0.500, 0.500, 0.500)
Se (0.116, 0.116, 0.116)
Sb (0.000, 0.000, 0.000)

The following is a DFT calculation (PBE-GGA) of an optimized crystal structure of Sm6SbIr2Se3.

Computed properties:
- Formation energy from raw total energies: -1300 meV per atom
- Size of the total moment: 0.000 μB/atom
- Final energy: -6.35 eV/atom

Cell: 4.172 8.661 9.562 Å, 105.27 102.60 90.00°
Fractional positions:
Sm (0.989, 0.736, 0.978)
Sb (0.500, 0.000, 0.000)
Sm (0.674, 0.572, 0.348)
Sm (0.673, 0.112, 0.346)
Ir (0.169, 0.337, 0.338)
Se (0.839, 0.162, 0.679)
Ir (0.831, 0.663, 0.662)
Sm (0.011, 0.264, 0.022)
Se (0.500, 0.500, 0.000)
Sm (0.326, 0.428, 0.652)
Sm (0.327, 0.888, 0.654)
Se (0.161, 0.838, 0.321)

The following is a DFT calculation (PBE-GGA) of an optimized crystal structure of Tb6SbIr2Se3.

Computed properties:
- Formation energy from raw total energies: -1312 meV per atom
- Size of the total moment: 0.000 μB/atom
- Final energy: -6.32 eV/atom

Cell: 4.106 8.515 9.413 Å, 105.37 102.60 90.00°
Fractional positions:
Tb (0.326, 0.427, 0.652)
Tb (0.012, 0.264, 0.024)
Tb (0.673, 0.115, 0.347)
Se (0.161, 0.839, 0.321)
Tb (0.988, 0.736, 0.976)
Ir (0.169, 0.340, 0.339)
Se (0.839, 0.161, 0.679)
Sb (0.500, 0.000, 0.000)
Ir (0.831, 0.660, 0.661)
Se (0.500, 0.500, 0.000)
Tb (0.327, 0.885, 0.653)
Tb (0.674, 0.573, 0.348)

The following is a DFT calculation (PBE-GGA) of an optimized crystal structure of Sb2TeIrSe.

Computed properties:
- Offset from the most stable computed form: 0 meV per atom
- Formation energy from raw total energies: 506 meV per atom
- Size of the total moment: 0.000 μB/atom
- Final energy: -4.24 eV/atom

Cell: 5.082 5.082 5.493 Å, 90.00 90.00 90.00°
Fractional positions:
Sb (0.500, 0.000, 0.000)
Te (0.000, 0.000, 0.500)
Sb (0.000, 0.500, 0.000)
Ir (0.000, 0.000, 0.000)
Se (0.500, 0.500, 0.500)

The following is a DFT calculation (PBE-GGA) of an optimized crystal structure of SbTe2IrSe.

Computed properties:
- Offset from the most stable computed form: 827 meV per atom
- Formation energy from raw total energies: 1379 meV per atom
- Size of the total moment: 0.152 μB/atom
- Final energy: -3.17 eV/atom

Cell: 5.261 5.261 5.315 Å, 90.00 90.00 90.00°
Fractional positions:
Sb (0.000, 0.000, 0.500)
Te (0.500, 0.000, 0.000)
Te (0.000, 0.500, 0.000)
Se (0.000, 0.000, 0.000)
Ir (0.500, 0.500, 0.500)

The following is a DFT calculation (PBE-GGA) of an optimized crystal structure of SbTe2IrSe.

Computed properties:
- Offset from the most stable computed form: 0 meV per atom
- Formation energy from raw total energies: 552 meV per atom
- Size of the total moment: 0.000 μB/atom
- Final energy: -4.00 eV/atom

Cell: 5.282 5.282 5.104 Å, 90.00 90.00 90.00°
Fractional positions:
Sb (0.000, 0.000, 0.500)
Te (0.500, 0.000, 0.000)
Ir (0.000, 0.000, 0.000)
Se (0.500, 0.500, 0.500)
Te (0.000, 0.500, 0.000)

The following is a DFT calculation (PBE-GGA) of an optimized crystal structure of Sb2TeIrSe.

Computed properties:
- Offset from the most stable computed form: 843 meV per atom
- Formation energy from raw total energies: 1349 meV per atom
- Size of the total moment: 0.000 μB/atom
- Final energy: -3.40 eV/atom

Cell: 5.261 5.261 5.212 Å, 90.00 90.00 90.00°
Fractional positions:
Sb (0.500, 0.000, 0.000)
Te (0.000, 0.000, 0.500)
Sb (0.000, 0.500, 0.000)
Se (0.000, 0.000, 0.000)
Ir (0.500, 0.500, 0.500)

The following is a DFT calculation (PBE-GGA) of an optimized crystal structure of Th6SbIr3Se2.

Computed properties:
- Formation energy from raw total energies: -1188 meV per atom
- Size of the total moment: 0.000 μB/atom
- Final energy: -8.04 eV/atom

Cell: 4.167 8.844 9.766 Å, 107.83 102.32 90.00°
Fractional positions:
Th (0.340, 0.401, 0.680)
Th (0.660, 0.599, 0.320)
Th (0.324, 0.936, 0.648)
Ir (0.500, 0.500, 0.000)
Th (0.992, 0.272, 0.984)
Se (0.832, 0.666, 0.664)
Th (0.008, 0.728, 0.016)
Ir (0.167, 0.829, 0.335)
Ir (0.833, 0.171, 0.665)
Th (0.676, 0.064, 0.352)
Sb (0.500, 0.000, 0.000)
Se (0.168, 0.334, 0.336)

The following is a DFT calculation (PBE-GGA) of an optimized crystal structure of Th4SbIrSe2.

Computed properties:
- Formation energy from raw total energies: -1234 meV per atom
- Size of the total moment: 0.000 μB/atom
- Final energy: -7.44 eV/atom

Cell: 4.173 7.701 7.449 Å, 108.51 90.00 90.00°
Fractional positions:
Sb (0.500, 0.500, 0.000)
Se (0.000, 0.500, 0.500)
Th (0.000, 0.770, 0.254)
Th (0.000, 0.230, 0.746)
Th (0.500, 0.780, 0.774)
Ir (0.000, 0.000, 0.000)
Se (0.500, 0.000, 0.500)
Th (0.500, 0.220, 0.226)